CaIn2ReF GGA-PBE relaxed; SG = P4/mmm, No. 123; Fermi-level density of states = 2.97 states/eV/f.u.; formation energy without anion corrections = 1.25 eV/atom
1.0
-0.859 3.725 4.708
-5.099 0.115 -1.021
-0.835 -4.784 3.633
F In Ca Re
1 2 1 1
direct
0.500 0.500 0.500 F
0.500 0.000 0.000 In
0.000 0.000 0.500 In
0.000 0.000 0.000 Ca
0.000 0.500 0.000 Re